# 1
A relaxed RbBaSr2Ag crystal, computed with PBE.

## Properties
DFT formation energy   -0.26 eV per formula unit
E_tot   -1.87 eV/atom

Cell: 6.4490 6.4490 6.6676 Å, 90.00 90.00 90.00°
Last column: nearest neighbours and their distance in Å.
Space group P4/mmm (No. 123)
Symmetry-distinct sites (fractional):
Rb: 0.0000 0.0000 0.0000 x1  4 Ba 4.56, 8 Sr 4.64
Ba: 0.5000 0.5000 0.0000 x1  2 Ag 3.33
Sr: 0.0000 0.5000 0.5000 x2  2 Ag 3.22
Ag: 0.5000 0.5000 0.5000 x1  4 Sr 3.22, 2 Ba 3.33



# 2
A relaxed Li2IrAu crystal, computed with PBE.

## Properties
DFT formation energy   0.73 eV per formula unit
E_tot   -3.81 eV/atom

Cell: 6.8309 6.8309 5.2953 Å, 90.00 90.00 90.00°
Last column: nearest neighbours and their distance in Å.
Space group I-42d (No. 122)
Symmetry-distinct sites (fractional):
Li: 0.2488 0.7500 0.1250 x8  2 Au 2.50, 2 Ir 2.51, 2 Li 2.65
Ir: 0.0000 0.0000 0.5000 x4  4 Li 2.51, 2 Au 2.65
Au: 0.0000 0.0000 0.0000 x4  4 Li 2.50, 2 Ir 2.65



# 3
A relaxed CsCd2Ag2 crystal, computed with PBE.

## Properties
DFT formation energy   0.07 eV per formula unit
E_tot   -1.66 eV/atom

Cell: 5.0597 5.0597 11.6732 Å, 90.00 90.00 90.00°
Last column: nearest neighbours and their distance in Å.
Space group I4/mmm (No. 139)
Symmetry-distinct sites (fractional):
Cs: 0.0000 0.0000 0.0000 x2  8 Ag 3.85, 8 Cd 3.86
Cd: 0.0000 0.5000 0.2500 x4  4 Ag 2.94
Ag: 0.0000 0.0000 0.3776 x4  1 Ag 2.86, 4 Cd 2.94



# 4
A relaxed KMn2Au crystal, computed with PBE.

## Properties
DFT formation energy   2.23 eV per formula unit
E_tot   -5.12 eV/atom

Cell: 2.9767 4.5546 7.1449 Å, 90.00 101.43 90.00°
Last column: nearest neighbours and their distance in Å.
Space group P2/m (No. 10)
Symmetry-distinct sites (fractional):
K: 0.0000 0.0000 0.0000 x1  2 K 2.98
Mn: 0.2755 0.5000 0.6577 x2  1 Mn 2.51, 2 Au 2.68
Au: 0.5000 0.0000 0.5000 x1  4 Mn 2.68, 2 Au 2.98



# 5
A relaxed SiPRu2 crystal, computed with PBE.

## Properties
Formation energy from raw total energies   -0.05 eV per atom
E_tot   -7.39 eV/atom

Cell: 2.9077 3.8111 5.0095 Å, 90.00 90.00 90.00°
Last column: nearest neighbours and their distance in Å.
Space group Pmmm (No. 47)
Symmetry-distinct sites (fractional):
Si: 0.0000 0.0000 0.0000 x1  4 Ru 2.40
P: 0.5000 0.0000 0.5000 x1  4 Ru 2.40
Ru: 0.0000 0.5000 0.5000 x1  4 P 2.40
Ru: 0.5000 0.5000 0.0000 x1  4 Si 2.40



# 6
A relaxed LaPr2Sb crystal, computed with PBE.

## Properties
Formation energy from raw total energies   -0.58 eV per atom
E_tot   -5.23 eV/atom

Cell: 5.0151 5.0151 4.9159 Å, 90.00 90.00 90.00°
Last column: nearest neighbours and their distance in Å.
Space group P4/mmm (No. 123)
Symmetry-distinct sites (fractional):
La: 0.0000 0.0000 0.0000 x1  8 Pr 3.51, 4 Sb 3.55
Pr: 0.0000 0.5000 0.5000 x2  4 Sb 3.51, 4 La 3.51, 4 Pr 3.55
Sb: 0.5000 0.5000 0.0000 x1  8 Pr 3.51, 4 La 3.55



# 7
A relaxed Cd2InRu crystal, computed with PBE.

## Properties
DFT formation energy   0.68 eV per formula unit
E_tot   -3.29 eV/atom

Cell: 3.5282 3.5463 6.2044 Å, 90.00 90.00 90.00°
Last column: nearest neighbours and their distance in Å.
Space group Pmm2 (No. 25)
Symmetry-distinct sites (fractional):
Cd: 0.0000 0.0000 0.0000 x1  1 In 2.83, 4 Ru 2.94, 4 Cd 2.96
Cd: 0.5000 0.5000 0.2548 x1  4 Cd 2.96, 2 Ru 3.07-3.13, 4 In 3.08
In: 0.0000 0.0000 0.5434 x1  4 Ru 2.81, 5 Cd 2.83-3.08
Ru: 0.5000 0.5000 0.7498 x1  4 In 2.81, 6 Cd 2.94-3.13



# 8
A relaxed LaCe2H crystal, computed with PBE.

## Properties
E_tot   -4.97 eV/atom

Cell: 3.2466 3.2466 8.5887 Å, 90.00 90.00 90.00°
Last column: nearest neighbours and their distance in Å.
Space group P4/mmm (No. 123)
Symmetry-distinct sites (fractional):
La: 0.0000 0.0000 0.0000 x1  4 La 3.25
Ce: 0.5000 0.5000 0.3395 x2  4 H 2.68, 1 Ce 2.76
H: 0.0000 0.0000 0.5000 x1  8 Ce 2.68



# 9
A relaxed AgAsPt2 crystal, computed with PBE.

## Properties
DFT formation energy   -0.10 eV per formula unit
E_tot   -4.92 eV/atom

Cell: 2.9468 2.9468 26.4660 Å, 90.00 90.00 120.00°
Last column: nearest neighbours and their distance in Å.
Space group R-3m (No. 166, hexagonal axes)
Symmetry-distinct sites (fractional):
Ag: 0.0000 0.0000 0.0000 x3  6 Pt 2.91, 6 Ag 2.95
As: 0.0000 0.0000 0.5000 x3  6 Pt 2.66, 6 As 2.95
Pt: 0.0000 0.0000 0.2440 x6  3 As 2.66, 3 Ag 2.91, 6 Pt 2.95



# 10
A relaxed Sr2Si2Sb crystal, computed with PBE.

## Properties
Formation energy from raw total energies   -0.45 eV per atom
E_tot   -4.12 eV/atom

Cell: 7.6654 7.6654 4.6492 Å, 90.00 90.00 90.00°
Last column: nearest neighbours and their distance in Å.
Space group P4/mbm (No. 127)
Symmetry-distinct sites (fractional):
Sr: 0.1813 0.3187 0.0000 x4  6 Si 3.25-3.27
Si: 0.1097 0.6097 0.5000 x4  1 Si 2.38
Sb: 0.0000 0.0000 0.5000 x2  4 Si 3.11



# 11
A relaxed LiU2Se2N2 crystal, computed with PBE.

## Properties
Formation energy from raw total energies   -1.32 eV per atom
E_tot   -8.19 eV/atom

Cell: 10.9791 3.7442 6.9205 Å, 90.00 121.26 90.00°
Last column: nearest neighbours and their distance in Å.
Space group C2/m (No. 12)
Symmetry-distinct sites (fractional):
Li: 0.0000 0.0000 0.0000 x2  2 N 2.05
U: 0.1880 0.0000 0.7513 x4  3 N 2.17-2.23
Se: 0.0688 0.5000 0.3389 x4  2 Li 2.78, 3 U 3.04-3.08
N: 0.2094 0.0000 0.0899 x4  1 Li 2.05, 3 U 2.17-2.23



# 12
A relaxed MnGaSe crystal, computed with PBE.

## Properties
Formation energy from raw total energies   -0.06 eV per atom
E_tot   -5.29 eV/atom

Cell: 3.4979 2.7963 11.4791 Å, 90.00 90.00 90.00°
Last column: nearest neighbours and their distance in Å.
Space group Amm2 (No. 38)
Symmetry-distinct sites (fractional):
Mn: 0.0000 0.0000 0.0000 x2  2 Se 2.50, 4 Ga 2.61, 2 Mn 2.80
Ga: 0.5000 0.0000 0.3828 x2  1 Se 2.60, 4 Mn 2.61, 2 Ga 2.80
Se: 0.5000 0.0000 0.1560 x2  2 Mn 2.50, 1 Ga 2.60, 2 Se 2.80



> Among the records above, which one has the lowest E_tot?

LiU2Se2N2



> Which formula does entry 4 have?

KMn2Au